Entry 1:
# BaZn3N, optimized geometry, DFT PBE-GGA
data_BaZn3N
_chemical_formula_sum 'Ba1 Zn3 N1'
_cell_length_a 6.786
_cell_length_b 6.786
_cell_length_c 6.786
_cell_angle_alpha 90.00
_cell_angle_beta 90.00
_cell_angle_gamma 90.00
_symmetry_space_group_name_H-M 'P m -3 m'
_symmetry_Int_Tables_number 221
_symmetry_space_group_name_Hall '-P 4 2 3'
loop_
_atom_site_label
_atom_site_type_symbol
_atom_site_fract_x
_atom_site_fract_y
_atom_site_fract_z
Ba1 Ba 0.000 0.000 0.000
Zn1 Zn 0.000 0.000 0.500
N1 N 0.500 0.500 0.500
# **Formation energy from raw total energies**: 1.645 eV/atom
# **Electronic total energy**: -5.85 eV/f.u.
# **Magnetic moment**: 1.8 μB per formula unit

Entry 2:
# BaZn2N2, optimized geometry, DFT PBE-GGA
data_BaZn2N2
_chemical_formula_sum 'Ba1 Zn2 N2'
_cell_length_a 3.6632
_cell_length_b 3.6632
_cell_length_c 6.5995
_cell_angle_alpha 90.00
_cell_angle_beta 90.00
_cell_angle_gamma 120.00
_symmetry_space_group_name_H-M 'P -3 m 1'
_symmetry_Int_Tables_number 164
_symmetry_space_group_name_Hall '-P 3 2"'
loop_
_atom_site_label
_atom_site_type_symbol
_atom_site_fract_x
_atom_site_fract_y
_atom_site_fract_z
Ba1 Ba 0.0000 0.0000 0.0000
Zn1 Zn 0.3333 0.6667 0.3797
N1 N 0.3333 0.6667 0.7088
# **Formation energy from raw total energies**: -0.121 eV/atom
# **Electronic total energy**: -21.73 eV/f.u.
# **Magnetic moment**: 0.0 μB per formula unit

Entry 3:
# Ba8Zn2N, optimized geometry, DFT PBE-GGA
data_Ba8Zn2N
_chemical_formula_sum 'Ba16 Zn4 N2'
_cell_length_a 19.477
_cell_length_b 6.742
_cell_length_c 7.450
_cell_angle_alpha 90.00
_cell_angle_beta 97.09
_cell_angle_gamma 90.00
_symmetry_space_group_name_H-M 'C 1 2/m 1'
_symmetry_Int_Tables_number 12
loop_
_symmetry_equiv_pos_as_xyz
'x,y,z'
'-x,-y,-z'
'-x,y,-z'
'x,-y,z'
'x+1/2,y+1/2,z'
'-x+1/2,-y+1/2,-z'
'-x+1/2,y+1/2,-z'
'x+1/2,-y+1/2,z'
loop_
_atom_site_label
_atom_site_type_symbol
_atom_site_fract_x
_atom_site_fract_y
_atom_site_fract_z
Ba1 Ba 0.042 0.000 0.269
Ba2 Ba 0.073 0.500 0.820
Ba3 Ba 0.128 0.500 0.397
Ba4 Ba 0.203 0.000 0.835
Zn1 Zn 0.219 0.000 0.312
N1 N 0.000 0.500 0.500
# **Formation energy from raw total energies**: 0.020 eV/atom
# **Electronic total energy**: -26.04 eV/f.u.
# **Magnetic moment**: 0.0 μB per formula unit

Entry 4:
# Ba2ZnN, optimized geometry, DFT PBE-GGA
data_Ba2ZnN
_chemical_formula_sum 'Ba2 Zn1 N1'
_cell_length_a 3.582
_cell_length_b 3.582
_cell_length_c 8.146
_cell_angle_alpha 90.00
_cell_angle_beta 90.00
_cell_angle_gamma 90.00
_symmetry_space_group_name_H-M 'P 4/m m m'
_symmetry_Int_Tables_number 123
_symmetry_space_group_name_Hall '-P 4 2'
loop_
_atom_site_label
_atom_site_type_symbol
_atom_site_fract_x
_atom_site_fract_y
_atom_site_fract_z
Ba1 Ba 0.000 0.000 0.190
Zn1 Zn 0.500 0.500 0.500
N1 N 0.500 0.500 0.000
# **Formation energy from raw total energies**: -0.032 eV/atom
# **Electronic total energy**: -13.57 eV/f.u.
# **Magnetic moment**: 0.0 μB per formula unit

Entry 5:
# Ba4ZnN, optimized geometry, DFT PBE-GGA
data_Ba4ZnN
_chemical_formula_sum 'Ba16 Zn4 N4'
_cell_length_a 10.924
_cell_length_b 17.638
_cell_length_c 7.726
_cell_angle_alpha 90.00
_cell_angle_beta 134.97
_cell_angle_gamma 90.00
_symmetry_space_group_name_H-M 'C 1 2/c 1'
_symmetry_Int_Tables_number 15
loop_
_symmetry_equiv_pos_as_xyz
'x,y,z'
'-x,-y,-z'
'-x,y,-z+1/2'
'x,-y,z+1/2'
'x+1/2,y+1/2,z'
'-x+1/2,-y+1/2,-z'
'-x+1/2,y+1/2,-z+1/2'
'x+1/2,-y+1/2,z+1/2'
loop_
_atom_site_label
_atom_site_type_symbol
_atom_site_fract_x
_atom_site_fract_y
_atom_site_fract_z
Ba1 Ba 0.153 0.199 0.161
Ba2 Ba 0.242 0.051 0.644
Zn1 Zn 0.000 0.375 0.750
N1 N 0.000 0.125 0.250
# **Formation energy from raw total energies**: -0.197 eV/atom
# **Electronic total energy**: -18.47 eV/f.u.
# **Magnetic moment**: 0.0 μB per formula unit

Entry 6:
# BaZnN, optimized geometry, DFT PBE-GGA
data_BaZnN
_chemical_formula_sum 'Ba4 Zn4 N4'
_cell_length_a 5.575
_cell_length_b 10.389
_cell_length_c 5.020
_cell_angle_alpha 90.00
_cell_angle_beta 90.00
_cell_angle_gamma 90.00
_symmetry_space_group_name_H-M 'C m c m'
_symmetry_Int_Tables_number 63
_symmetry_space_group_name_Hall '-C 2c 2'
loop_
_atom_site_label
_atom_site_type_symbol
_atom_site_fract_x
_atom_site_fract_y
_atom_site_fract_z
Ba1 Ba 0.000 0.191 0.250
Zn1 Zn 0.000 0.500 0.000
N1 N 0.000 0.358 0.750
# **Formation energy from raw total energies**: -0.206 eV/atom
# **Electronic total energy**: -12.14 eV/f.u.
# **Magnetic moment**: 0.2 μB per formula unit